Sr2LaInTe4 (PBE-GGA, relaxed); energy relative to the elements, uncorrected = -1.37 eV/atom; total DFT energy (no corrections) = -4.319 eV/atom; total magnetic moment = 0.000 μB per atom
1.0
4.7277 0.0000 0.0000
0.0000 8.0092 -0.1413
0.0000 2.8320 7.8420
Sr In Te La
2 1 4 1
Direct
0.0000 0.0000 0.0000
0.5000 0.0000 0.5000
0.5000 0.5000 0.0000
0.0000 0.7469 0.7380
0.0000 0.2531 0.2620
0.5000 0.7411 0.2597
0.5000 0.2589 0.7403
0.0000 0.5000 0.5000